[1]
First-principles (PBE) data for crystalline La5Pb3N at its relaxed geometry, as listed in the Alexandria database.

Cell: 9.5950 9.5950 6.8520 Å, 90.00 90.00 120.00°
Space group P6_3/mcm (No. 193)
Inequivalent atoms, fractional coordinates:
La 0.0000 0.2116 0.2500 [6 per cell]
La 0.3333 0.6667 0.0000 [4 per cell]
Pb 0.0000 0.4035 0.7500 [6 per cell]
N 0.0000 0.0000 0.0000 [2 per cell]

Output
ρ = 8.09 g cm⁻³
volume = 546 Å³/cell
energy relative to the elements, uncorrected = -0.8039 eV per atom

---

[2]
First-principles (PBE) data for crystalline MgNb2Sn at its relaxed geometry, as listed in the Alexandria database.

Cell: 7.6364 7.6364 5.7275 Å, 90.00 90.00 90.00°
Space group I-42d (No. 122)
Inequivalent atoms, fractional coordinates:
Mg 0.0000 0.0000 0.0000 [4 per cell]
Nb 0.2453 0.7500 0.6250 [8 per cell]
Sn 0.0000 0.0000 0.5000 [4 per cell]

Output
ρ = 6.54 g cm⁻³
E_tot = -95.4 eV/cell
volume = 334 Å³/cell

---

[3]
First-principles (PBE) data for crystalline TeRuS2N at its relaxed geometry, as listed in the Alexandria database.

Cell: 4.8657 4.8657 3.6947 Å, 90.00 90.00 90.00°
Space group P4/mmm (No. 123)
Inequivalent atoms, fractional coordinates:
Te 0.0000 0.0000 0.0000 [1 per cell]
Ru 0.5000 0.5000 0.5000 [1 per cell]
S 0.0000 0.5000 0.5000 [2 per cell]
N 0.5000 0.5000 0.0000 [1 per cell]

Output
ρ = 5.82 g cm⁻³
volume = 87 Å³/cell
energy relative to the elements, uncorrected = 0.4383 eV per atom

---

[4]
First-principles (PBE) data for crystalline Ga2HgBiCl at its relaxed geometry, as listed in the Alexandria database.

Cell: 5.0983 5.0983 5.6919 Å, 90.00 90.00 90.00°
Space group P4/mmm (No. 123)
Inequivalent atoms, fractional coordinates:
Ga 0.0000 0.5000 0.0000 [2 per cell]
Hg 0.0000 0.0000 0.0000 [1 per cell]
Bi 0.5000 0.5000 0.5000 [1 per cell]
Cl 0.0000 0.0000 0.5000 [1 per cell]

Output
ρ = 6.56 g cm⁻³
volume = 148 Å³/cell
energy relative to the elements, uncorrected = 0.3044 eV per atom